SrTc2Pd: relaxed, PBE.

Cell and atoms, written as CIF:
```
data_SrTc2Pd
_chemical_formula_sum 'Sr4 Tc8 Pd4'
_cell_length_a 4.365
_cell_length_b 4.365
_cell_length_c 19.848
_cell_angle_alpha 90.00
_cell_angle_beta 90.00
_cell_angle_gamma 90.00
_space_group_name_H-M_alt 'I -4 2 d'
_space_group_IT_number 122
_space_group_name_Hall 'I -4 2bw'
loop_
_atom_site_label
_atom_site_fract_x
_atom_site_fract_y
_atom_site_fract_z
Sr1 0.000 0.000 0.000
Tc1 0.079 0.250 0.625
Pd1 0.000 0.000 0.500
```

## Properties
magnetization: 0.000 μB per cell
density of states at the Fermi level: 1.05 states/eV/atom
calculated volume: 23.63 Å³ per atom
energy of formation: 0.719 eV/atom
total DFT energy (no corrections): -6.183 eV/atom
ΔE to the lowest computed polymorph: 0 meV/atom